Mg5Re24 | PBEsol | optimized geometry

It has space group I-43m (No. 217), with a = 9.6107 Å, b = 9.6107 Å, c = 9.6107 Å, α = 90.00°, β = 90.00° and γ = 90.00°. Symmetry generates all atoms from Mg at (0.0000, 0.0000, 0.0000), Mg at (0.1773, 0.1773, 0.8227), Re at (0.0386, 0.3589, 0.3589) and Re at (0.0929, 0.0929, 0.2858).

The energy is -11.308 eV per atom. Its spin magnetization is 0.00 μB/cell. For the formation energy, the calculation gives 21 meV per atom. The density of states at the Fermi level comes out at 0.706 states/eV/atom.